# 1
The following is a DFT calculation (PBE-GGA) of an optimized crystal structure of InP2SCl.

Lattice parameters (Å, degrees): 5.2678 5.2678 4.9833 90.00 90.00 90.00
Each line ends with the local moment (μB).
Positions (direct):
P1 0.5000 0.0000 0.0000  0.36
P2 0.0000 0.5000 0.0000  0.36
Cl1 0.0000 0.0000 0.5000  0.04
In1 0.0000 0.0000 0.0000  -0.01
S1 0.5000 0.5000 0.5000  -0.40

Total moment, μB/f.u.: 0.99
Space-group type: No. 123
V, A^3/atom: 27.7
Electronic total energy, eV/f.u.: -14.453

# 2
The following is a DFT calculation (PBE-GGA) of an optimized crystal structure of InP2SCl.

Lattice parameters (Å, degrees): 4.5026 4.5026 8.5532 90.00 90.00 90.00
Positions (direct):
P1 0.5000 0.0000 0.0000
P2 0.0000 0.5000 0.0000
In1 0.5000 0.5000 0.5000
S1 0.0000 0.0000 0.0000
Cl1 0.0000 0.0000 0.5000

Total moment, μB/f.u.: 0.00
Space-group type: No. 123
V, A^3/atom: 34.7
Electronic total energy, eV/f.u.: -17.151